Record 1
Material: Li4CaTl2
Method: DFT, PBE
State: relaxed

Output
The calculation puts the density of states at the Fermi level at 0.5264 states/eV/atom. The formation energy comes out at -154 kJ/mol of formula units.

a = 8.0966 Å, b = 8.0966 Å, c = 4.8321 Å
α = 90.00°, β = 90.00°, γ = 90.00°
Space group P4_2/mnm (No. 136)
One atom of each set of equivalent atoms:
Li  0.1058  0.3607  0.0000 x8
Ca  0.0000  0.0000  0.5000 x2
Tl  0.2111  0.7889  0.0000 x4

=====

Record 2
Material: Ho8NiRu2
Method: DFT, PBE
State: relaxed

Output
The energy relative to the lowest polymorph listed for this composition is 45 meV/atom. The calculation puts the density of states at the Fermi level at 0.9463 states/eV/atom. The formation energy comes out at -219 kJ/mol of formula units.

a = 8.2856 Å, b = 12.4419 Å, c = 5.9161 Å
α = 90.00°, β = 109.90°, γ = 90.00°
Space group Cm (No. 8)
One atom of each set of equivalent atoms:
Ho  0.0000  0.0000  0.0000 x2
Ho  0.0764  0.3686  0.7897 x4
Ho  0.1554  0.1306  0.5852 x4
Ho  0.2201  0.5000  0.3825 x2
Ho  0.3598  0.2088  0.1952 x4
Ni  0.3570  0.0000  0.3651 x2
Ru  0.3663  0.3107  0.6862 x4

=====

Record 3
Material: FeTcSe2
Method: DFT, PBE
State: relaxed

Output
The energy relative to the lowest polymorph listed for this composition is 432 meV/atom. The calculation puts the density of states at the Fermi level at 1.1633 states/eV/atom. The uncorrected formation energy comes out at 0.20 eV per atom.

a = 7.6368 Å, b = 3.1471 Å, c = 5.4557 Å
α = 90.00°, β = 102.31°, γ = 90.00°
Space group C2/m (No. 12)
One atom of each set of equivalent atoms:
Fe  0.0000  0.0000  0.0000 x2
Tc  0.0000  0.5000  0.5000 x2
Se  0.2418  0.0000  0.7453 x4